[1]
# KInPd

Crystalline KInPd at its relaxed geometry (GGA-PBE, Alexandria).

Structure (POSCAR):
```
KInPd
1.0
5.243 0.000 0.000
0.000 4.576 0.000
0.000 -2.288 3.963
In Pd K
1 1 1
Cartesian
0.874 0.000 0.000 In
0.874 2.288 1.321 Pd
3.495 0.000 2.642 K
```

- SG = P-6m2, No. 187
- energy of formation (meV per atom) = -173.1
- Fermi-level density of states (states/eV per cell) = 1.79

---

[2]
# Pm5Sm3Y4

Crystalline Pm5Sm3Y4 at its relaxed geometry (GGA-PBE, Alexandria).

Structure (POSCAR):
```
Pm5Sm3Y4
1.0
5.997 0.000 0.000
2.998 7.661 -2.753
2.998 -0.870 9.239
Pm Sm Y
5 3 4
Cartesian
5.997 3.395 3.243 Pm
2.998 3.433 -0.211 Pm
2.998 0.187 1.712 Pm
8.995 6.604 4.774 Pm
8.995 3.358 6.697 Pm
5.997 5.028 0.605 Sm
5.997 1.763 5.882 Sm
2.998 3.395 3.243 Sm
5.997 1.651 -0.049 Y
5.997 5.140 6.535 Y
8.995 6.971 0.867 Y
2.998 -0.180 5.619 Y
```

- SG = C2/m, No. 12
- energy of formation (meV per atom) = 211.7
- Fermi-level density of states (states/eV per cell) = 19.81
- energy above the lowest structure with this stoichiometry (meV/atom) = 199

---

[3]
# Na2CdSnO4

Crystalline Na2CdSnO4 at its relaxed geometry (GGA-PBE, Alexandria).

Structure (POSCAR):
```
Na2CdSnO4
1.0
3.266 0.000 0.000
0.000 5.822 0.072
0.000 -2.061 5.488
O Cd Na Sn
4 1 2 1
Cartesian
0.000 3.722 1.243 O
1.633 1.164 1.170 O
1.633 2.597 4.391 O
0.000 0.039 4.317 O
0.000 0.000 0.000 Cd
0.000 1.881 2.780 Na
1.633 -1.030 2.744 Na
1.633 2.911 0.036 Sn
```

- E (eV per atom) = -4.953
- SG = P2/m, No. 10

---

[4]
# InAg2Bi2

Crystalline InAg2Bi2 at its relaxed geometry (GGA-PBE, Alexandria).

Structure (POSCAR):
```
InAg2Bi2
1.0
-1.609 2.243 -4.184
3.894 -6.515 -2.575
-8.115 0.697 3.667
Bi Ag In
4 4 2
Cartesian
-2.283 -1.131 -3.104 Bi
0.504 -2.730 -1.768 Bi
-6.334 -0.845 -1.323 Bi
-3.546 -2.443 0.012 Bi
-3.847 0.660 0.387 Ag
-1.983 -4.235 -3.479 Ag
-4.741 -4.176 -2.347 Ag
-1.088 0.602 -0.745 Ag
0.640 -4.571 -4.760 In
-6.470 0.996 1.668 In
```

- SG = P-1, No. 2
- energy of formation (meV per atom) = 64.6
- Fermi-level density of states (states/eV per cell) = 3.61
- energy above the lowest structure with this stoichiometry (meV/atom) = 0

---

[5]
# SrCr2TcH

Crystalline SrCr2TcH at its relaxed geometry (GGA-PBE, Alexandria).

Structure (POSCAR):
```
SrCr2TcH
1.0
-0.715 1.217 4.586
-3.332 -2.441 0.128
2.747 -3.676 1.404
Cr Tc H Sr
2 1 1 1
Cartesian
-0.358 0.609 2.293 Cr
1.373 -1.838 0.702 Cr
0.000 0.000 0.000 Tc
-1.666 -1.221 0.064 H
-0.650 -2.450 3.059 Sr
```

- E (eV per atom) = -6.092
- SG = P4/mmm, No. 123
- Fermi-level density of states (states/eV per cell) = 2.98

---

Respective size of the total moment values: 0.00; 0.00; 0.00; 0.00; 6.34 μB/f.u..